Entry 1:
Material: CdInRe
Method: DFT, PBE
State: relaxed

Summary:
DFT total energy   -0.3208 Ry per atom
Crystal system   cubic

abc: 4.597 4.597 4.597
angles: 60.00 60.00 60.00
Sites, in units of the cell vectors:
In: 0.750 0.750 0.750
Cd: 0.250 0.250 0.250
Re: 0.000 0.000 0.000


Entry 2:
Material: LiGaCoAg
Method: DFT, PBE
State: relaxed

Summary:
DFT total energy   -0.2767 Ry per atom
Offset from the most stable computed form   0.8 kJ per mole of atoms
Crystal system   cubic

abc: 4.239 4.239 4.239
angles: 60.00 60.00 60.00
Sites, in units of the cell vectors:
Ga: 0.000 0.000 0.000
Co: 0.750 0.750 0.750
Ag: 0.250 0.250 0.250
Li: 0.500 0.500 0.500


Entry 3:
Material: Sr2GaAg
Method: DFT, PBE
State: relaxed

Summary:
DFT total energy   -0.1786 Ry per atom
Crystal system   cubic

abc: 5.287 5.287 5.287
angles: 60.00 60.00 60.00
Sites, in units of the cell vectors:
Ag: 0.750 0.750 0.750
Ga: 0.000 0.000 0.000
Sr: 0.500 0.500 0.500
Sr: 0.250 0.250 0.250


Entry 4:
Material: LaNd2NiIr2Pb3
Method: DFT, PBE
State: relaxed

Summary:
DFT total energy   -0.4379 Ry per atom
Crystal system   orthorhombic

abc: 4.030 7.782 7.782
angles: 119.72 90.00 90.00
Sites, in units of the cell vectors:
Ir: 0.500 0.667 0.337
Ir: 0.500 0.337 0.667
Pb: 0.500 0.247 0.247
Pb: 0.500 0.750 0.003
Pb: 0.500 0.003 0.750
Ni: 0.000 0.001 0.001
Nd: 0.000 0.412 0.000
Nd: 0.000 0.000 0.412
La: 0.000 0.584 0.584


Entry 5:
Material: NaCdH6Ir
Method: DFT, PBE
State: relaxed

Summary:
DFT total energy   -0.2693 Ry per atom
Crystal system   cubic

abc: 4.884 4.884 4.884
angles: 60.00 60.00 60.00
Sites, in units of the cell vectors:
H: 0.992 0.992 0.508
H: 0.508 0.992 0.992
H: 0.508 0.508 0.992
H: 0.508 0.992 0.508
H: 0.992 0.508 0.508
H: 0.992 0.508 0.992
Na: 0.000 0.000 0.000
Ir: 0.750 0.750 0.750
Cd: 0.500 0.500 0.500


Entry 6:
Material: AcPrSc
Method: DFT, PBE
State: relaxed

Summary:
DFT total energy   -0.3282 Ry per atom
Offset from the most stable computed form   0.0 kJ per mole of atoms
Crystal system   cubic
Energy relative to the elements   0.60 eV/atom

abc: 5.521 5.521 5.521
angles: 60.00 60.00 60.00
Sites, in units of the cell vectors:
Ac: 0.250 0.250 0.250
Pr: 0.750 0.750 0.750
Sc: 0.000 0.000 0.000


Entry 7:
Material: TmNiB4
Method: DFT, PBE
State: relaxed

Summary:
DFT total energy   -0.4748 Ry per atom
Offset from the most stable computed form   22.1 kJ per mole of atoms
Crystal system   hexagonal

abc: 3.163 3.163 6.403
angles: 90.00 90.00 120.00
Sites, in units of the cell vectors:
B: 0.667 0.333 0.789
B: 0.333 0.667 0.211
B: 0.667 0.333 0.211
B: 0.333 0.667 0.789
Tm: 0.000 0.000 0.500
Ni: 0.000 0.000 0.000


Entry 8:
Material: NaPr
Method: DFT, PBE
State: relaxed

Summary:
DFT total energy   -0.2099 Ry per atom
Offset from the most stable computed form   0.0 kJ per mole of atoms
Crystal system   hexagonal

abc: 3.541 3.541 6.289
angles: 90.00 90.00 120.00
Sites, in units of the cell vectors:
Na: 0.667 0.333 0.750
Pr: 0.333 0.667 0.250